# 1
DFT (PBE) results for a relaxed Sr2TlCr crystal.

Cell lengths 5.5325, 5.5325, 5.5325 Å; angles 120.26, 120.26, 89.56 degrees
Closest atoms and distances in Å follow each position.
Fractional positions:
Sr1 0.0000 0.0000 0.0000  4 Tl 3.38, 4 Sr 3.38
Sr2 0.7500 0.2500 0.5000  4 Cr 3.38, 4 Sr 3.38
Tl1 0.2500 0.7500 0.5000  4 Cr 3.38, 4 Sr 3.38
Cr1 0.5000 0.5000 0.0000  4 Tl 3.38, 4 Sr 3.38

Calculated values
Magnetic moment in μB per atom: 1.222
Energy of formation from the pure elements in kJ/mol of atoms: 24


# 2
DFT (PBE) results for a relaxed CaGePdPt crystal.

Cell lengths 4.4196, 5.2000, 5.2000 Å; angles 41.77, 90.00, 90.00 degrees
Closest atoms and distances in Å follow each position.
Fractional positions:
Ca1 0.0000 0.0000 0.0000  3 Pt 2.68-2.86
Ge1 0.5000 0.6179 0.6179  2 Pt 2.44, 2 Pd 2.66
Pd1 0.5000 0.3145 0.3145  3 Ge 2.66-2.95
Pt1 0.0000 0.7246 0.7246  2 Ge 2.44, 1 Ca 2.68

Calculated values
Magnetic moment in μB per atom: 0.000
Energy of formation from the pure elements in kJ/mol of atoms: -56


# 3
DFT (PBE) results for a relaxed Nd2Mg3Pb3 crystal.

Cell lengths 4.8003, 4.9140, 9.2449 Å; angles 90.00, 90.00, 90.00 degrees
Closest atoms and distances in Å follow each position.
Fractional positions:
Nd1 0.0000 0.0000 0.2466  6 Pb 3.31-3.35, 6 Mg 3.39-3.44
Nd2 0.0000 0.0000 0.7534  6 Pb 3.31-3.35, 6 Mg 3.39-3.44
Mg1 0.0000 0.5000 0.5000  4 Mg 3.28, 4 Nd 3.39, 4 Pb 3.43
Mg2 0.5000 0.5000 0.2575  2 Mg 3.28, 6 Pb 3.33-3.42, 4 Nd 3.44
Mg3 0.5000 0.5000 0.7425  2 Mg 3.28, 6 Pb 3.33-3.42, 4 Nd 3.44
Pb1 0.0000 0.5000 0.0000  4 Nd 3.35, 4 Mg 3.38, 4 Pb 3.43
Pb2 0.5000 0.0000 0.0000  4 Nd 3.31, 4 Mg 3.42, 4 Pb 3.43
Pb3 0.5000 0.0000 0.5000  8 Mg 3.33-3.43, 4 Nd 3.35

Calculated values
Magnetic moment in μB per atom: 0.000
Energy of formation from the pure elements in kJ/mol of atoms: -35


# 4
DFT (PBE) results for a relaxed Tb3Pr2Sm6Pb crystal.

Cell lengths 6.2047, 6.2047, 11.9626 Å; angles 94.99, 94.99, 120.06 degrees
Closest atoms and distances in Å follow each position.
Fractional positions:
Tb1 0.0000 0.0000 0.0000  6 Tb 3.57-3.59, 6 Sm 3.57-3.61
Tb2 0.3320 0.6680 0.0000  6 Tb 3.57-3.61, 6 Sm 3.57-3.61
Tb3 0.6680 0.3320 0.0000  6 Tb 3.57-3.61, 6 Sm 3.57-3.61
Pr1 0.1661 0.8339 0.5000  3 Pr 3.57-3.59, 3 Pb 3.58-3.59, 6 Sm 3.63
Pr2 0.8339 0.1661 0.5000  3 Pr 3.57-3.59, 3 Pb 3.58-3.59, 6 Sm 3.63
Sm1 0.0913 0.4163 0.2489  6 Sm 3.49-3.63, 3 Tb 3.57-3.61, 1 Pb 3.58, 2 Pr 3.63
Sm2 0.2592 0.2592 0.7525  6 Sm 3.49-3.63, 3 Tb 3.57-3.61, 1 Pb 3.59, 2 Pr 3.63
Sm3 0.4163 0.0913 0.2489  6 Sm 3.49-3.63, 3 Tb 3.57-3.61, 1 Pb 3.58, 2 Pr 3.63
Sm4 0.5837 0.9087 0.7511  6 Sm 3.49-3.63, 3 Tb 3.57-3.61, 1 Pb 3.58, 2 Pr 3.63
Sm5 0.7408 0.7408 0.2475  6 Sm 3.49-3.63, 3 Tb 3.57-3.61, 1 Pb 3.59, 2 Pr 3.63
Sm6 0.9087 0.5837 0.7511  6 Sm 3.49-3.63, 3 Tb 3.57-3.61, 1 Pb 3.58, 2 Pr 3.63
Pb1 0.5000 0.5000 0.5000  6 Pr 3.58-3.59, 6 Sm 3.58-3.59

Calculated values
Magnetic moment in μB per atom: 0.000
Energy of formation from the pure elements in kJ/mol of atoms: -6


# 5
DFT (PBE) results for a relaxed Na3Ce2PuTe6 crystal.

Cell lengths 7.9071, 7.9071, 7.9243 Å; angles 99.57, 99.57, 120.00 degrees
Closest atoms and distances in Å follow each position.
Fractional positions:
Na1 0.0000 0.0000 0.0000  6 Te 3.28-3.29
Na2 0.3333 0.6667 0.0000  6 Te 3.28-3.29
Na3 0.6667 0.3333 0.0000  6 Te 3.28-3.29
Ce1 0.1666 0.8334 0.5000  6 Te 3.18
Ce2 0.8334 0.1666 0.5000  6 Te 3.18
Pu1 0.5000 0.5000 0.5000  6 Te 3.18
Te1 0.0869 0.4209 0.2626  2 Ce 3.18, 1 Pu 3.18, 3 Na 3.28-3.29
Te2 0.2452 0.2452 0.7376  2 Ce 3.18, 1 Pu 3.18, 3 Na 3.28-3.29
Te3 0.4209 0.0869 0.2626  2 Ce 3.18, 1 Pu 3.18, 3 Na 3.28-3.29
Te4 0.5791 0.9131 0.7374  2 Ce 3.18, 1 Pu 3.18, 3 Na 3.28-3.29
Te5 0.7548 0.7548 0.2624  2 Ce 3.18, 1 Pu 3.18, 3 Na 3.28-3.29
Te6 0.9131 0.5791 0.7374  2 Ce 3.18, 1 Pu 3.18, 3 Na 3.28-3.29

Calculated values
Magnetic moment in μB per atom: 0.327
E_form (uncorrected) in meV/atom: -1181


- The highest magnetic moment belongs to which entry?
  Sr2TlCr


- Number 1 is which compound?
  Sr2TlCr